Record 1
# Tm4Ga12Co

A relaxed Tm4Ga12Co crystal (PBE, the Alexandria database).

Output
M_tot: 0.00 μB/f.u.
formation energy: -0.535 eV per atom
density of states at the Fermi level: 0.398 states/eV per atom

a b c (Å): 7.3667 7.3667 7.3667
angles (deg): 109.47 109.47 109.47
Last column: nearest neighbours and their distance in Å.
Sites, in units of the cell vectors:
Tm (0.0000, 0.0000, 0.5000)  12 Ga 3.01-3.02
Tm (0.0000, 0.5000, 0.0000)  12 Ga 3.01-3.02
Tm (0.5000, 0.0000, 0.0000)  12 Ga 3.01-3.02
Tm (0.5000, 0.5000, 0.5000)  12 Ga 3.01-3.02
Ga (0.0000, 0.2827, 0.2827)  1 Co 2.41
Ga (0.0000, 0.7173, 0.7173)  1 Co 2.41
Ga (0.2500, 0.5000, 0.7500)  8 Ga 2.82-3.01, 4 Tm 3.01
Ga (0.2500, 0.7500, 0.5000)  8 Ga 2.82-3.01, 4 Tm 3.01
Ga (0.2827, 0.0000, 0.2827)  1 Co 2.41
Ga (0.2827, 0.2827, 0.0000)  1 Co 2.41
Ga (0.5000, 0.2500, 0.7500)  8 Ga 2.82-3.01, 4 Tm 3.01
Ga (0.5000, 0.7500, 0.2500)  8 Ga 2.82-3.01, 4 Tm 3.01
Ga (0.7173, 0.0000, 0.7173)  1 Co 2.41
Ga (0.7173, 0.7173, 0.0000)  1 Co 2.41
Ga (0.7500, 0.2500, 0.5000)  8 Ga 2.82-3.01, 4 Tm 3.01
Ga (0.7500, 0.5000, 0.2500)  8 Ga 2.82-3.01, 4 Tm 3.01
Co (0.0000, 0.0000, 0.0000)  6 Ga 2.41

=====

Record 2
# Cr2OsN

A relaxed Cr2OsN crystal (PBE, the Alexandria database).

Output
E_form (uncorrected): -0.273 eV per atom
M_tot: 0.48 μB/f.u.
density of states at the Fermi level: 1.127 states/eV per atom

a b c (Å): 6.8222 6.8222 6.8222
angles (deg): 23.07 23.07 23.07
Last column: nearest neighbours and their distance in Å.
Sites, in units of the cell vectors:
Cr (0.0000, 0.0000, 0.0000)  3 N 1.99
Cr (0.2130, 0.2130, 0.2130)  3 N 1.97
Os (0.4415, 0.4415, 0.4415)  6 Cr 2.62-2.67, 6 Os 2.73
N (0.6056, 0.6056, 0.6056)  6 Cr 1.97-1.99